# 1
K2Al: relaxed, PBE-GGA.

Cell: 9.8335 9.8335 5.3123 Å, 90.00 90.00 90.00°
Last column: nearest neighbours and their distance in Å.
Space group I4/mcm (No. 140)
Symmetry-distinct sites (fractional):
K (0.1622, 0.3378, 0.0000) [8 per cell]  2 K 3.61, 4 Al 3.92
Al (0.0000, 0.0000, 0.2500) [4 per cell]  2 Al 2.66

V	42.81	Å³/atom
calculated formation energy	0.232	eV per atom
magnetic moment	0.000	μB per formula unit
density	1.36	g/cm3
Fermi-level density of states	0.5899	states/eV/atom
offset from the most stable computed form	0.094	eV per atom
energy	-5.24	eV per formula unit

# 2
SrHoInAg: relaxed, PBE-GGA.

Cell: 7.6683 7.6683 7.6683 Å, 90.00 90.00 90.00°
Last column: nearest neighbours and their distance in Å.
Space group F-43m (No. 216)
Symmetry-distinct sites (fractional):
Sr (0.0000, 0.0000, 0.0000) [4 per cell]  4 In 3.32, 4 Ag 3.32
Ho (0.0000, 0.0000, 0.5000) [4 per cell]  4 In 3.32, 4 Ag 3.32
In (0.2500, 0.2500, 0.7500) [4 per cell]  4 Sr 3.32, 4 Ho 3.32
Ag (0.2500, 0.2500, 0.2500) [4 per cell]  4 Ho 3.32, 4 Sr 3.32

V	28.18	Å³/atom
calculated formation energy	-0.297	eV per atom
magnetic moment	0.000	μB per formula unit
density	7.00	g/cm3
Fermi-level density of states	1.2173	states/eV/atom
energy	-13.04	eV per formula unit

# 3
AcCdI2: relaxed, PBE-GGA.

Cell: 4.3324 4.3324 37.7809 Å, 90.00 90.00 120.00°
Last column: nearest neighbours and their distance in Å.
Space group R-3m (No. 166, hexagonal axes)
Symmetry-distinct sites (fractional):
Ac (0.0000, 0.0000, 0.0000) [3 per cell]  6 I 3.36
Cd (0.0000, 0.0000, 0.5000) [3 per cell]  2 I 4.06, 6 Cd 4.33
I (0.0000, 0.0000, 0.3926) [6 per cell]  3 Ac 3.36

V	51.18	Å³/atom
magnetic moment	0.000	μB per formula unit
density	4.81	g/cm3
Fermi-level density of states	0.5006	states/eV/atom
uncorrected formation energy	-0.830	eV/atom
energy	-11.44	eV per formula unit

# 4
BaTl2Cl: relaxed, PBE-GGA.

Cell: 4.4790 4.4790 28.8908 Å, 90.00 90.00 90.00°
Last column: nearest neighbours and their distance in Å.
Space group I-42d (No. 122)
Symmetry-distinct sites (fractional):
Ba (0.0000, 0.0000, 0.0000) [4 per cell]  4 Cl 3.17
Tl (0.2472, 0.2500, 0.1250) [8 per cell]  4 Tl 3.15-3.19
Cl (0.0000, 0.0000, 0.5000) [4 per cell]  4 Ba 3.17

V	36.23	Å³/atom
magnetic moment	0.000	μB per formula unit
density	6.66	g/cm3
Fermi-level density of states	0.5701	states/eV/atom
uncorrected formation energy	-0.853	eV/atom
offset from the most stable computed form	0.016	eV per atom
energy	-11.91	eV per formula unit

# 5
TlAg3W: relaxed, PBE-GGA.

Cell: 5.1846 5.1846 5.1846 Å, 90.00 90.00 90.00°
Last column: nearest neighbours and their distance in Å.
Space group Pm-3m (No. 221)
Symmetry-distinct sites (fractional):
Tl (0.0000, 0.0000, 0.0000) [1 per cell]  12 Ag 3.67
Ag (0.0000, 0.5000, 0.5000) [3 per cell]  2 W 2.59
W (0.5000, 0.5000, 0.5000) [1 per cell]  6 Ag 2.59

V	27.87	Å³/atom
calculated formation energy	1.452	eV per atom
magnetic moment	0.000	μB per formula unit
density	8.48	g/cm3
Fermi-level density of states	0.9952	states/eV/atom
offset from the most stable computed form	0.000	eV per atom
energy	-16.61	eV per formula unit

# 6
KZn2Hg: relaxed, PBE-GGA.

Cell: 4.0635 5.6094 9.4118 Å, 90.00 90.00 90.00°
Last column: nearest neighbours and their distance in Å.
Space group Imm2 (No. 44)
Symmetry-distinct sites (fractional):
K (0.0000, 0.0000, 0.0000) [2 per cell]  4 Hg 3.41-3.44, 8 Zn 3.42-3.47
Zn (0.0000, 0.0000, 0.4722) [2 per cell]  2 Zn 2.65
Zn (0.0000, 0.5000, 0.7922) [2 per cell]  2 Zn 2.65
Hg (0.0000, 0.5000, 0.2054) [2 per cell]  2 Zn 2.99

V	26.82	Å³/atom
calculated formation energy	0.092	eV per atom
magnetic moment	0.000	μB per formula unit
density	5.74	g/cm3
Fermi-level density of states	0.3905	states/eV/atom
energy	-3.58	eV per formula unit

# 7
Cr3C: relaxed, PBE-GGA.

Cell: 8.5473 8.5473 4.2238 Å, 90.00 90.00 90.00°
Last column: nearest neighbours and their distance in Å.
Space group P4_2/n (No. 86, origin choice 2)
Symmetry-distinct sites (fractional):
Cr (0.0309, 0.5872, 0.2330) [8 per cell]  3 C 2.11-2.19, 1 Cr 2.34
Cr (0.1139, 0.2094, 0.0200) [8 per cell]  4 C 2.16-2.26, 2 Cr 2.39-2.40
Cr (0.1361, 0.6690, 0.7166) [8 per cell]  2 C 2.14-2.18, 2 Cr 2.34-2.39
C (0.0416, 0.1990, 0.5228) [8 per cell]  9 Cr 2.11-2.26

V	9.64	Å³/atom
calculated formation energy	-0.043	eV per atom
magnetic moment	0.000	μB per formula unit
density	7.23	g/cm3
Fermi-level density of states	0.8490	states/eV/atom
offset from the most stable computed form	0.050	eV per atom
energy	-38.27	eV per formula unit

# 8
NaPdI: relaxed, PBE-GGA.

Cell: 4.0701 5.9370 7.8293 Å, 80.04 74.98 70.05°
Last column: nearest neighbours and their distance in Å.
Space group P-1 (No. 2)
Symmetry-distinct sites (fractional):
Na (0.0205, 0.1943, 0.2678) [2 per cell]  3 Pd 2.93-3.22, 3 I 3.20-3.24
Pd (0.2580, 0.5906, 0.3936) [2 per cell]  2 I 2.70, 2 Pd 2.73, 1 Na 2.93
I (0.2318, 0.2257, 0.8106) [2 per cell]  2 Pd 2.70

V	28.50	Å³/atom
magnetic moment	0.000	μB per formula unit
density	4.98	g/cm3
Fermi-level density of states	0.0510	states/eV/atom
uncorrected formation energy	-0.475	eV/atom
offset from the most stable computed form	0.055	eV per atom
energy	-9.49	eV per formula unit

# 9
K3H7Rh: relaxed, PBE-GGA.

Cell: 8.5320 8.9180 8.2584 Å, 90.00 90.00 90.00°
Last column: nearest neighbours and their distance in Å.
Space group Fmm2 (No. 42)
Symmetry-distinct sites (fractional):
K (0.0000, 0.0000, 0.0000) [4 per cell]  7 H 2.59-2.78
K (0.2500, 0.2500, 0.2398) [8 per cell]  4 H 2.62-2.83
H (0.0000, 0.0000, 0.6866) [4 per cell]  1 Rh 1.69
H (0.0000, 0.1941, 0.4831) [8 per cell]  1 Rh 1.73
H (0.1085, 0.0000, 0.3180) [8 per cell]  1 Rh 1.64
H (0.1895, 0.0000, 0.5380) [8 per cell]  1 Rh 1.68
Rh (0.0000, 0.0000, 0.4821) [4 per cell]  7 H 1.64-1.73

V	14.28	Å³/atom
magnetic moment	0.000	μB per formula unit
density	2.40	g/cm3
Fermi-level density of states	0.2951	states/eV/atom
energy	-35.98	eV per formula unit

# 10
Mn4Co: relaxed, PBE-GGA.

Cell: 4.4675 4.4675 4.4675 Å, 90.00 90.00 90.00°
Last column: nearest neighbours and their distance in Å.
Space group Pm-3m (No. 221)
Symmetry-distinct sites (fractional):
Mn (0.0000, 0.0000, 0.0000) [1 per cell]  12 Mn 3.16
Mn (0.0000, 0.5000, 0.5000) [3 per cell]  2 Co 2.23
Co (0.5000, 0.5000, 0.5000) [1 per cell]  6 Mn 2.23

V	17.83	Å³/atom
calculated formation energy	1.030	eV per atom
magnetic moment	16.887	μB per formula unit
density	5.19	g/cm3
Fermi-level density of states	1.1115	states/eV/atom
offset from the most stable computed form	0.946	eV per atom
energy	-38.63	eV per formula unit

# 11
NpSn2Rh: relaxed, PBE-GGA.

Cell: 3.0700 3.0700 32.3449 Å, 90.00 90.00 120.00°
Last column: nearest neighbours and their distance in Å.
Space group R-3m (No. 166, hexagonal axes)
Symmetry-distinct sites (fractional):
Np (0.0000, 0.0000, 0.0000) [3 per cell]  6 Np 3.07, 6 Sn 3.32
Sn (0.0000, 0.0000, 0.4202) [6 per cell]  1 Rh 2.58
Rh (0.0000, 0.0000, 0.5000) [3 per cell]  2 Sn 2.58

V	22.00	Å³/atom
calculated formation energy	0.262	eV per atom
magnetic moment	3.349	μB per formula unit
density	10.89	g/cm3
Fermi-level density of states	1.3672	states/eV/atom
energy	-27.25	eV per formula unit

# 12
YZrBe17: relaxed, PBE-GGA.

Cell: 7.6155 7.6155 11.1121 Å, 90.00 90.00 120.00°
Last column: nearest neighbours and their distance in Å.
Space group R3m (No. 160, hexagonal axes)
Symmetry-distinct sites (fractional):
Y (0.0000, 0.0000, 0.0000) [3 per cell]  19 Be 2.72-2.94
Zr (0.0000, 0.0000, 0.3245) [3 per cell]  19 Be 2.66-2.91
Be (0.0000, 0.0000, 0.5636) [3 per cell]  7 Be 2.13-2.34
Be (0.0000, 0.0000, 0.7550) [3 per cell]  7 Be 2.13-2.38
Be (0.0034, 0.5017, 0.1597) [9 per cell]  10 Be 2.15-2.36
Be (0.0513, 0.3832, 0.3281) [18 per cell]  7 Be 2.14-2.39
Be (0.1669, 0.3339, 0.8356) [9 per cell]  9 Be 2.21-2.42
Be (0.1681, 0.3363, 0.1545) [9 per cell]  9 Be 2.18-2.43

V	9.79	Å³/atom
calculated formation energy	-0.192	eV per atom
magnetic moment	0.000	μB per formula unit
density	2.98	g/cm3
Fermi-level density of states	0.1989	states/eV/atom
energy	-82.00	eV per formula unit

- Look up the V of the ninth one.
  14.28 Å³/atom